Here is crystalline K2ReSe at its relaxed geometry from the Alexandria database. Energies are from PBE-GGA.

abc: 6.3030 6.3030 6.3030
angles: 136.57 123.35 73.99
Positions (direct):
1 K 0.0252 0.0252 0.0000
2 K 0.7127 0.2127 0.5000
3 Re 0.3890 0.3890 0.0000
4 Se 0.3732 0.8732 0.5000

Properties
mass density: 4.1 g/cm³
calculated volume: 140.46 Å³/cell
crystal system: orthorhombic


Here is crystalline KRe2Se at its relaxed geometry from the Alexandria database. Energies are from PBE-GGA.

abc: 9.9453 9.9453 9.9453
angles: 17.21 17.21 17.21
Positions (direct):
1 K 0.7500 0.7500 0.7500
2 Re 0.9806 0.9806 0.9806
3 Re 0.5194 0.5194 0.5194
4 Se 0.2500 0.2500 0.2500

Properties
mass density: 10.8 g/cm³
calculated volume: 75.13 Å³/cell
crystal system: trigonal


Here is crystalline KRe2Se at its relaxed geometry from the Alexandria database. Energies are from PBE-GGA.

abc: 4.6454 4.6454 9.6882
angles: 76.13 76.13 90.00
Positions (direct):
1 Re 0.9472 0.1250 0.2500
2 Re 0.8028 0.6250 0.2500
3 Re 0.3750 0.0528 0.7500
4 Re 0.8750 0.1972 0.7500
5 K 0.5000 0.5000 0.0000
6 K 0.2500 0.7500 0.5000
7 Se 0.0000 0.0000 0.0000
8 Se 0.7500 0.2500 0.5000

Properties
mass density: 8.3 g/cm³
calculated volume: 196.68 Å³/cell
crystal system: tetragonal


Here is crystalline KRe2Se at its relaxed geometry from the Alexandria database. Energies are from PBE-GGA.

abc: 3.0557 3.0557 8.7379
angles: 90.00 90.00 90.00
Positions (direct):
1 K 0.5000 0.5000 0.7500
2 Re 0.0000 0.0000 0.0879
3 Re 0.0000 0.0000 0.4121
4 Se 0.5000 0.5000 0.2500

Properties
mass density: 10.0 g/cm³
calculated volume: 81.59 Å³/cell
crystal system: tetragonal


Here is crystalline K2ReSe at its relaxed geometry from the Alexandria database. Energies are from PBE-GGA.

abc: 4.4747 4.4877 5.5705
angles: 90.00 90.00 90.00
Positions (direct):
1 K 0.0000 0.0000 0.9961
2 K 0.0000 0.0000 0.5039
3 Re 0.5000 0.5000 0.2500
4 Se 0.5000 0.5000 0.7500

Properties
mass density: 5.1 g/cm³
calculated volume: 111.86 Å³/cell
crystal system: orthorhombic


Here is crystalline K2ReSe at its relaxed geometry from the Alexandria database. Energies are from PBE-GGA.

abc: 11.3835 11.3835 11.3835
angles: 15.34 15.34 15.34
Positions (direct):
1 K 0.0031 0.0031 0.0031
2 K 0.4969 0.4969 0.4969
3 Re 0.2500 0.2500 0.2500
4 Se 0.7500 0.7500 0.7500

Properties
mass density: 6.3 g/cm³
calculated volume: 90.00 Å³/cell
crystal system: trigonal


Here is crystalline KRe2Se at its relaxed geometry from the Alexandria database. Energies are from PBE-GGA.

abc: 4.1811 4.1811 7.0284
angles: 72.58 72.58 60.08
Positions (direct):
1 K 0.7516 0.7516 0.7459
2 Re 0.9522 0.9522 0.1432
3 Re 0.2606 0.2606 0.2178
4 Se 0.5355 0.5355 0.3931

Properties
mass density: 8.2 g/cm³
calculated volume: 99.93 Å³/cell
crystal system: monoclinic


Here is crystalline KRe2Se at its relaxed geometry from the Alexandria database. Energies are from PBE-GGA.

abc: 5.9076 5.9076 5.9076
angles: 142.18 142.18 54.56
Positions (direct):
1 K 0.7500 0.2500 0.5000
2 Re 0.0000 0.0000 0.0000
3 Re 0.5000 0.5000 0.0000
4 Se 0.2500 0.7500 0.5000

Properties
mass density: 10.6 g/cm³
calculated volume: 77.00 Å³/cell
crystal system: tetragonal


Here is crystalline K2ReSe at its relaxed geometry from the Alexandria database. Energies are from PBE-GGA.

abc: 6.1696 6.1696 2.8318
angles: 90.00 90.00 120.18
Positions (direct):
1 K 0.0000 0.0000 0.0000
2 K 0.5000 0.5000 0.0000
3 Re 0.5000 0.0000 0.5000
4 Se 0.0000 0.5000 0.5000

Properties
mass density: 6.1 g/cm³
calculated volume: 93.18 Å³/cell
crystal system: orthorhombic


Here is crystalline KRe2Se at its relaxed geometry from the Alexandria database. Energies are from PBE-GGA.

abc: 5.5645 2.6655 5.2056
angles: 91.30 90.00 90.00
Positions (direct):
1 K 0.5000 0.7500 0.7500
2 Re 0.0000 0.1305 0.0198
3 Re 0.0000 0.3695 0.4802
4 Se 0.5000 0.2500 0.2500

Properties
mass density: 10.6 g/cm³
calculated volume: 77.19 Å³/cell
crystal system: monoclinic


Here is crystalline KRe2Se at its relaxed geometry from the Alexandria database. Energies are from PBE-GGA.

abc: 3.0333 3.0333 8.8254
angles: 90.00 90.00 90.00
Positions (direct):
1 K 0.5000 0.5000 0.7443
2 Re 0.0000 0.0000 0.0722
3 Re 0.5000 0.5000 0.2426
4 Se 0.0000 0.0000 0.4409

Properties
mass density: 10.0 g/cm³
calculated volume: 81.20 Å³/cell
crystal system: tetragonal


Here is crystalline KRe2Se at its relaxed geometry from the Alexandria database. Energies are from PBE-GGA.

abc: 2.8974 4.5250 6.9210
angles: 90.00 90.00 90.00
Positions (direct):
1 K 0.5000 0.5000 0.7500
2 Re 0.0000 0.0000 0.0891
3 Re 0.0000 0.0000 0.4109
4 Se 0.5000 0.5000 0.2500

Properties
mass density: 9.0 g/cm³
calculated volume: 90.74 Å³/cell
crystal system: orthorhombic


no.,spin magnetization (μB per formula unit),formation energy without anion corrections (eV per atom)
1,1.32,0.47
2,0.00,1.06
3,0.00,1.11
4,0.00,1.29
5,3.40,0.81
6,0.28,0.83
7,0.84,0.44
8,0.00,1.42
9,1.25,0.85
10,0.00,1.03
11,0.00,0.47
12,0.00,1.32